# 1
VH2Au PBE optimized geometry; excess energy over the best structure of this formula in the dataset = 523 meV/atom; SG = Fm-3m
1.0
0.849 1.111 3.603
-2.675 -0.248 2.779
0.362 -2.639 2.801
H V Au
2 1 1
Cartesian
-0.366 -0.444 2.296
-1.098 -1.331 6.888
0.000 0.000 0.000
-0.732 -0.888 4.592

# 2
V2ZnHAu PBE optimized geometry; excess energy over the best structure of this formula in the dataset = 0 meV/atom; SG = P4/mmm
1.0
3.735 0.000 0.000
0.000 3.735 0.000
0.000 0.000 4.337
Zn V Au H
1 2 1 1
Cartesian
0.000 0.000 2.168
1.868 0.000 0.000
0.000 1.868 0.000
1.868 1.868 2.168
0.000 0.000 0.000

# 3
ZrV2HAu PBE optimized geometry; SG = P4/mmm
1.0
-2.944 2.680 -0.461
-1.472 -2.141 -3.051
-2.454 -2.223 2.744
Zr V H Au
1 2 1 1
Cartesian
-1.227 -1.112 1.372
-0.736 -1.071 -1.526
-1.472 1.340 -0.231
0.000 0.000 0.000
-3.435 -0.842 -0.384

# 4
HWAu3 PBE optimized geometry; excess energy over the best structure of this formula in the dataset = 0 meV/atom; SG = Pm-3m
1.0
-0.868 4.022 -0.815
-0.425 -0.917 -4.071
-4.082 -0.760 0.597
Au H W
3 1 1
Cartesian
-2.041 -0.380 0.299
-0.212 -0.458 -2.036
-0.434 2.011 -0.408
0.000 0.000 0.000
-2.687 1.172 -2.145

# 5
H2WAu2 PBE optimized geometry; excess energy over the best structure of this formula in the dataset = 0 meV/atom; SG = I4/mmm
1.0
-2.634 1.127 0.486
-0.222 -1.569 2.436
1.486 5.022 5.102
H Au W
2 2 1
Cartesian
-1.288 2.964 3.525
-0.082 1.616 4.500
-0.781 3.291 5.515
-0.589 1.288 2.509
0.000 0.000 0.000

# 6
HWAu3 PBE optimized geometry; excess energy over the best structure of this formula in the dataset = 774 meV/atom; SG = Pm-3m
1.0
-2.512 -3.866 2.186
0.772 -2.853 -4.159
4.374 -1.717 1.989
W Au H
1 3 1
Cartesian
0.000 0.000 0.000
2.187 -0.858 0.995
0.386 -1.426 -2.080
-1.256 -1.933 1.093
1.317 -4.218 0.008

# 7
H2WAu2 PBE optimized geometry; excess energy over the best structure of this formula in the dataset = 147 meV/atom; SG = P4/mbm
1.0
7.688 0.000 0.000
0.000 7.688 0.000
0.000 0.000 2.589
Au W H
4 2 4
Cartesian
1.914 5.759 0.000
5.759 5.774 0.000
5.774 1.930 0.000
1.930 1.914 0.000
3.844 3.844 0.000
0.000 0.000 0.000
7.420 3.576 1.294
0.268 4.112 1.294
3.576 0.268 1.294
4.112 7.420 1.294

# 8
HWAu2 PBE optimized geometry; excess energy over the best structure of this formula in the dataset = 325 meV/atom; SG = Fm-3m
1.0
0.000 3.139 3.139
3.139 0.000 3.139
3.139 3.139 0.000
Au H W
2 1 1
Cartesian
1.570 1.570 1.570
4.709 4.709 4.709
0.000 0.000 0.000
3.139 3.139 3.139

# 9
H2WAu PBE optimized geometry; excess energy over the best structure of this formula in the dataset = 0 meV/atom; SG = I-42d
1.0
4.515 0.000 0.000
0.000 4.515 0.000
2.258 2.258 4.115
Au H W
2 4 2
Cartesian
0.000 0.000 0.000
4.515 2.258 2.058
1.304 3.387 1.029
3.211 1.129 1.029
5.644 5.469 3.086
3.387 3.562 3.086
2.258 2.258 0.000
2.258 4.515 2.058

# 10
HWAu2 PBE optimized geometry; excess energy over the best structure of this formula in the dataset = 0 meV/atom; SG = I-42d
1.0
6.001 0.000 0.000
0.000 6.001 0.000
3.001 3.001 3.216
Au H W
4 2 2
Cartesian
2.136 4.501 0.804
3.866 1.500 0.804
7.502 6.866 2.412
4.501 5.136 2.412
3.001 6.001 1.608
3.001 3.001 0.000
6.001 3.001 1.608
0.000 0.000 0.000

# 11
HW3Au PBE optimized geometry; excess energy over the best structure of this formula in the dataset = 0 meV/atom; SG = Pm-3m
1.0
-2.229 3.286 0.848
-2.255 -2.192 2.567
2.536 0.938 3.028
W Au H
3 1 1
Cartesian
-1.114 1.643 0.424
-1.127 -1.096 1.284
1.268 0.469 1.514
-0.974 1.016 3.222
0.000 0.000 0.000

# 12
H2WAu PBE optimized geometry; excess energy over the best structure of this formula in the dataset = 455 meV/atom; SG = Fm-3m
1.0
1.377 -3.634 -0.171
-2.112 -2.949 1.405
-1.605 -2.575 -2.434
H Au W
2 1 1
Cartesian
-1.755 -6.868 -0.900
-0.585 -2.289 -0.300
-1.170 -4.579 -0.600
0.000 0.000 0.000

| no. | density of states at the Fermi level (states/eV per cell) | DFT total energy (eV for the cell shown) |
| --- | --- | --- |
| 1 | 4.01 | -17.0 |
| 2 | 3.16 | -26.4 |
| 3 | 5.49 | -33.9 |
| 4 | 4.89 | -22.0 |
| 5 | 2.52 | -23.2 |
| 6 | 2.89 | -18.1 |
| 7 | 5.68 | -44.9 |
| 8 | 4.14 | -18.2 |
| 9 | 1.77 | -41.2 |
| 10 | 6.49 | -38.9 |
| 11 | 2.33 | -44.1 |
| 12 | 1.47 | -18.8 |